{"formula": "InOsRh2", "functional": "PBE", "state": "optimized geometry", "n_ef_per_ev_fu": 2.6, "energy_ev_per_atom": -7.039, "magnetic_moment_mub_per_atom": 0.00, "e_form_ev_per_atom": 0.1286, "cell": [[-1.4044, -0.4172, 2.4249], [-0.4221, -3.7142, -0.8835], [4.9963, -1.2066, 2.6860]], "species": ["Rh", "Rh", "Os", "In"], "frac_coords": [[0.0000, 0.0000, 0.9806], [0.5000, 0.5000, 0.2446], [0.5000, 0.5000, 0.7864], [0.0000, 0.0000, 0.4883]]}